[1]
VASP calculation (SCAN) on a crystal of Li5Cr2Fe5O12 relaxed with PBEsol.

Cell: 5.0302 4.9878 9.5272 Å, 85.29 80.62 59.72°
With the nearest neighbours (Å) after each atom.
Atoms (fractional coordinates):
O  0.3942  0.4764  0.6137  2 Fe 1.93-2.09, 1 Cr 1.99, 3 Li 2.00-2.11
O  0.6123  0.5087  0.8846  1 Cr 1.99, 3 Fe 2.02-2.19, 2 Li 2.09-2.15
O  0.2971  0.1805  0.8741  1 Cr 1.98, 3 Fe 2.00-2.12, 2 Li 2.07-2.14
O  0.7054  0.8277  0.6179  2 Fe 1.97-2.04, 1 Cr 1.97, 3 Li 2.01-2.06
O  0.1294  0.4764  0.3863  2 Fe 1.93-2.09, 1 Cr 1.99, 3 Li 2.00-2.11
O  0.7656  0.1803  0.3825  2 Fe 1.95-2.00, 1 Cr 1.97, 3 Li 2.04-2.11
O  0.9760  0.8265  0.8704  1 Cr 1.99, 3 Fe 2.00-2.14, 2 Li 2.04-2.07
O  0.1975  0.8265  0.1296  1 Cr 1.99, 3 Fe 2.00-2.14, 2 Li 2.04-2.07
O  0.4669  0.8277  0.3821  2 Fe 1.97-2.04, 1 Cr 1.97, 3 Li 2.01-2.06
O  0.0541  0.1803  0.6175  2 Fe 1.95-2.00, 1 Cr 1.97, 3 Li 2.04-2.11
O  0.8790  0.5087  0.1154  1 Cr 1.99, 3 Fe 2.02-2.19, 2 Li 2.09-2.15
O  0.5223  0.1805  0.1259  1 Cr 1.98, 3 Fe 2.00-2.12, 2 Li 2.07-2.14
Cr  0.2474  0.5051  0.0000  6 O 1.98-1.99
Cr  0.7525  0.4951  0.5000  6 O 1.97-1.99
Fe  0.9232  0.1536  0.0000  6 O 2.01-2.12
Fe  0.5740  0.8520  0.0000  6 O 2.00-2.14
Fe  0.4201  0.1598  0.5000  6 O 1.93-1.97
Fe  0.0056  0.5061  0.7452  6 O 2.00-2.19
Fe  0.4883  0.5061  0.2548  6 O 2.00-2.19
Li  0.6762  0.1614  0.7422  6 O 2.00-2.15
Li  0.0833  0.8334  0.5000  6 O 2.05-2.07
Li  0.3374  0.8330  0.7414  6 O 2.01-2.14
Li  0.8296  0.8330  0.2586  6 O 2.01-2.14
Li  0.1624  0.1614  0.2578  6 O 2.00-2.15

Calculated values
The space group is C2. The density of states at the Fermi level is 4.89 states/eV/cell. The uncorrected formation energy comes out at -1994 meV/atom.

---

[2]
VASP calculation (SCAN) on a crystal of Li4Cr3Fe3Sb2O16 relaxed with PBEsol.

Cell: 5.7287 5.7287 9.5445 Å, 90.09 90.09 60.18°
With the nearest neighbours (Å) after each atom.
Atoms (fractional coordinates):
Cr  0.8327  0.3430  0.7227  6 O 1.92-2.01
Cr  0.3430  0.8327  0.7227  6 O 1.92-2.01
Cr  0.1680  0.1680  0.2223  6 O 1.93-2.00
Li  0.9944  0.9944  0.4995  4 O 1.78-1.93
Li  0.3378  0.3378  0.9109  4 O 1.90-1.97
Li  0.9958  0.9958  0.9977  4 O 1.80-1.90
Li  0.6721  0.6721  0.4051  4 O 1.90-1.97
O  0.3191  0.8366  0.1040  1 Li 1.90, 1 Fe 1.98, 1 Sb 2.00, 1 Cr 2.00
O  0.4868  0.0357  0.3434  1 Li 1.90, 1 Fe 1.92, 1 Cr 1.97, 1 Sb 2.09
O  0.3343  0.3343  0.1171  2 Fe 1.88, 1 Cr 1.93, 1 Li 1.97
O  0.6781  0.1565  0.6086  1 Li 1.89, 1 Fe 2.00, 1 Sb 2.01, 1 Cr 2.01
O  0.4870  0.4870  0.3439  2 Fe 1.92, 1 Li 1.92, 1 Sb 2.10
O  0.8366  0.3191  0.1040  1 Li 1.90, 1 Fe 1.98, 1 Sb 2.00, 1 Cr 2.00
O  0.5189  0.5189  0.8458  1 Li 1.90, 2 Cr 1.96, 1 Sb 2.09
O  0.1614  0.1614  0.6035  1 Li 1.93, 2 Cr 1.99, 1 Sb 2.00
O  0.0357  0.4868  0.3434  1 Li 1.90, 1 Fe 1.92, 1 Cr 1.97, 1 Sb 2.09
O  0.1565  0.6781  0.6086  1 Li 1.89, 1 Fe 2.00, 1 Sb 2.01, 1 Cr 2.01
O  0.6649  0.6649  0.6110  1 Fe 1.90, 2 Cr 1.92, 1 Li 1.97
O  0.5201  0.9702  0.8486  1 Fe 1.92, 1 Li 1.92, 1 Cr 1.97, 1 Sb 2.09
O  0.9932  0.9932  0.3126  1 Li 1.78, 2 Fe 1.90, 1 Cr 1.94
O  0.9702  0.5201  0.8486  1 Fe 1.92, 1 Li 1.92, 1 Cr 1.97, 1 Sb 2.09
O  0.9947  0.9947  0.8095  1 Li 1.80, 1 Fe 1.89, 2 Cr 1.92
O  0.8414  0.8414  0.1094  1 Li 1.87, 2 Fe 2.00, 1 Sb 2.00
Fe  0.1785  0.6527  0.2230  6 O 1.88-2.00
Fe  0.8224  0.8224  0.7240  6 O 1.89-2.00
Fe  0.6527  0.1785  0.2230  6 O 1.88-2.00
Sb  0.3353  0.3353  0.4974  6 O 2.00-2.10
Sb  0.6683  0.6683  0.0011  6 O 2.00-2.09

Calculated values
The space group is Cm. The uncorrected formation energy comes out at -2041 meV/atom.

---

[3]
VASP calculation (SCAN) on a crystal of Li4Ti3Cr2Fe3O16 relaxed with PBEsol.

Cell: 5.7121 5.6546 9.3886 Å, 89.93 90.00 120.34°
With the nearest neighbours (Å) after each atom.
Atoms (fractional coordinates):
O  0.8416  0.1756  0.8956  1 Li 1.89, 1 Fe 1.94, 1 Cr 1.99, 1 Ti 2.03
O  0.8326  0.6651  0.9024  1 Cr 1.96, 2 Ti 1.96, 1 Li 2.01
O  0.5170  0.0340  0.1634  1 Li 1.91, 2 Fe 1.91, 1 Cr 1.99
O  0.3340  0.1756  0.8956  1 Li 1.89, 1 Fe 1.94, 1 Cr 1.99, 1 Ti 2.03
O  0.4764  0.9528  0.6583  1 Li 1.87, 2 Ti 1.96, 1 Cr 1.98
O  0.1686  0.8352  0.3994  1 Cr 1.95, 1 Li 1.95, 1 Fe 1.96, 1 Ti 1.98
O  0.6638  0.3276  0.3991  2 Fe 1.88, 1 Li 1.91, 1 Ti 1.95
O  0.0330  0.5088  0.6548  1 Li 1.90, 1 Fe 1.93, 1 Ti 1.95, 1 Cr 2.01
O  0.6666  0.8352  0.3994  1 Cr 1.95, 1 Li 1.95, 1 Fe 1.96, 1 Ti 1.98
O  0.9583  0.4766  0.1584  1 Li 1.88, 1 Fe 1.91, 1 Ti 1.96, 1 Cr 1.97
O  0.4758  0.5088  0.6548  1 Li 1.90, 1 Fe 1.93, 1 Ti 1.95, 1 Cr 2.01
O  0.3406  0.6812  0.9069  1 Li 1.92, 2 Ti 1.93, 1 Fe 1.94
O  0.0094  0.0187  0.1935  1 Li 1.76, 2 Fe 1.89, 1 Ti 1.94
O  0.0052  0.0104  0.6922  1 Li 1.76, 1 Fe 1.91, 2 Ti 1.94
O  0.1638  0.3276  0.3913  1 Li 1.86, 2 Fe 1.94, 1 Cr 1.99
O  0.5182  0.4766  0.1584  1 Li 1.88, 1 Fe 1.91, 1 Ti 1.96, 1 Cr 1.97
Ti  0.1627  0.8179  0.7856  6 O 1.93-2.03
Ti  0.6551  0.8179  0.7856  6 O 1.93-2.03
Ti  0.8311  0.6622  0.2861  6 O 1.94-1.98
Cr  0.3322  0.6644  0.5099  6 O 1.95-2.01
Cr  0.6644  0.3287  0.0165  6 O 1.96-1.99
Fe  0.3483  0.1724  0.2868  6 O 1.88-1.96
Fe  0.8241  0.1724  0.2868  6 O 1.88-1.96
Fe  0.1775  0.3549  0.7884  6 O 1.91-1.94
Li  0.6604  0.3207  0.6027  4 O 1.87-1.91
Li  0.0073  0.0146  0.5044  4 O 1.76-1.95
Li  0.3282  0.6564  0.1105  4 O 1.88-1.92
Li  0.0131  0.0261  0.0057  3 O 1.76-1.89

Calculated values
The space group is Cm. The density of states at the Fermi level is 3.97 states/eV/cell. The uncorrected formation energy comes out at -2461 meV/atom.

---

[4]
VASP calculation (SCAN) on a crystal of Li4V3Cr3Fe2O16 relaxed with PBEsol.

Cell: 5.6447 5.6448 9.4043 Å, 89.32 89.33 60.61°
With the nearest neighbours (Å) after each atom.
Atoms (fractional coordinates):
V  0.6483  0.1729  0.7105  6 O 1.88-1.98
V  0.1729  0.6483  0.7104  6 O 1.88-1.98
V  0.8286  0.8288  0.2125  6 O 1.88-1.94
Cr  0.1712  0.1710  0.7082  6 O 1.92-2.02
Cr  0.8330  0.3481  0.2190  6 O 1.90-2.00
Cr  0.3480  0.8331  0.2190  6 O 1.90-2.00
O  0.6750  0.1582  0.1091  1 V 1.88, 1 Li 1.94, 1 Cr 2.00, 1 Fe 2.01
O  0.0347  0.4799  0.8343  1 V 1.88, 1 Li 1.89, 1 Cr 1.94, 1 Fe 2.10
O  0.9944  0.9943  0.8045  1 Li 1.79, 2 V 1.92, 1 Cr 1.94
O  0.3342  0.3341  0.5914  1 Li 1.88, 2 V 1.91, 1 Cr 1.92
O  0.3382  0.8195  0.5990  1 Fe 1.93, 1 V 1.93, 1 Li 1.94, 1 Cr 2.02
O  0.5228  0.5228  0.3439  1 Li 1.88, 2 Cr 1.92, 1 Fe 1.95
O  0.6708  0.6709  0.0987  1 V 1.89, 1 Li 1.94, 2 Cr 1.94
O  0.0027  0.0028  0.3108  1 Li 1.74, 2 Cr 1.90, 1 V 1.94
O  0.8196  0.3381  0.5990  1 Fe 1.93, 1 V 1.93, 1 Li 1.94, 1 Cr 2.02
O  0.4799  0.4797  0.8393  1 Li 1.89, 2 V 1.94, 1 Fe 2.01
O  0.5304  0.9588  0.3474  1 Li 1.90, 1 Fe 1.93, 1 V 1.93, 1 Cr 1.95
O  0.8282  0.8281  0.6031  1 Li 1.92, 1 Fe 1.93, 2 V 1.98
O  0.1580  0.6752  0.1091  1 V 1.88, 1 Li 1.94, 1 Cr 2.00, 1 Fe 2.01
O  0.1660  0.1662  0.1042  1 Li 1.89, 1 Fe 1.93, 2 Cr 1.96
O  0.9587  0.5305  0.3474  1 Li 1.90, 1 Fe 1.93, 1 V 1.93, 1 Cr 1.95
O  0.4801  0.0345  0.8343  1 V 1.88, 1 Li 1.89, 1 Cr 1.94, 1 Fe 2.10
Li  0.0050  0.0053  0.9942  4 O 1.79-1.94
Li  0.6661  0.6660  0.8926  4 O 1.89-1.94
Li  0.3346  0.3346  0.3914  4 O 1.88-1.90
Li  0.9979  0.9979  0.4959  4 O 1.74-1.94
Fe  0.3338  0.3340  0.9929  6 O 1.93-2.10
Fe  0.6669  0.6669  0.4858  6 O 1.93-1.95

Calculated values
The space group is Cm. The density of states at the Fermi level is 4.70 states/eV/cell. The uncorrected formation energy comes out at -2331 meV/atom.

---

[5]
VASP calculation (SCAN) on a crystal of MgCr2Fe relaxed with PBEsol.

Cell: 3.0149 4.1643 4.1643 Å, 90.00 90.00 90.00°
With the nearest neighbours (Å) after each atom.
Atoms (fractional coordinates):
Cr  0.0000  0.5000  0.0000  4 Fe 2.57, 4 Mg 2.57
Cr  0.0000  0.0000  0.5000  4 Fe 2.57, 4 Mg 2.57
Mg  0.5000  0.0000  0.0000  8 Cr 2.57
Fe  0.5000  0.5000  0.5000  8 Cr 2.57

Calculated values
The space group is P4/mmm. The calculation puts the formation energy at 365 meV per atom. The density of states at the Fermi level is 2.63 states/eV/cell.

---

[6]
VASP calculation (SCAN) on a crystal of MgCr2Fe relaxed with PBEsol.

Cell: 2.4943 3.9422 5.1286 Å, 90.00 100.16 90.00°
With the nearest neighbours (Å) after each atom.
Atoms (fractional coordinates):
Cr  0.9655  0.0000  0.0310  4 Cr 2.35-2.49, 1 Fe 2.47, 2 Mg 2.62
Cr  0.7687  0.5000  0.2434  4 Cr 2.35-2.49, 2 Fe 2.45
Mg  0.2419  0.5000  0.7451  2 Mg 2.49, 2 Fe 2.56, 4 Cr 2.62-2.66
Fe  0.5239  0.0000  0.4804  4 Cr 2.45-2.72, 2 Fe 2.49, 2 Mg 2.56

Calculated values
The space group is Pm. The calculation puts the formation energy at 397 meV per atom. The density of states at the Fermi level is 2.87 states/eV/cell.